Entry 1:
A plane-wave DFT calculation with PBE-GGA was carried out for a relaxed structure of MoPtBr.

Computed properties:
The space group is No. 156. The calculation puts the uncorrected formation energy at 242.6 meV per atom. For the energy, the calculation gives -17.817 eV/cell. Its crystal system is trigonal. The calculation puts the excess energy over the best structure of this formula in the dataset at 0.0146 eV per atom.

a b c (Å): 3.0482 3.0482 6.7713
angles (deg): 90.00 90.00 120.00
With the nearest neighbours (Å) after each atom.
Fractional coordinates of all 3 atoms:
Mo (0.0000, 0.0000, 0.0000)  3 Br 2.64, 3 Pt 2.68
Pt (0.6667, 0.3333, 0.2991)  3 Mo 2.68
Br (0.3333, 0.6667, 0.7085)  3 Mo 2.64

Entry 2:
A plane-wave DFT calculation with PBE-GGA was carried out for a relaxed structure of Mo2PtBr.

Computed properties:
The space group is No. 71. The calculation puts the uncorrected formation energy at 736.7 meV per atom. For the energy, the calculation gives -26.429 eV/cell. Its crystal system is orthorhombic. The calculation puts the excess energy over the best structure of this formula in the dataset at 0.4516 eV per atom.

a b c (Å): 5.4314 5.4314 5.4314
angles (deg): 146.70 130.66 60.83
With the nearest neighbours (Å) after each atom.
Fractional coordinates of all 4 atoms:
Mo (0.2333, 0.2333, 0.0000)  2 Br 2.68, 4 Mo 2.77, 2 Pt 2.94
Mo (0.7667, 0.7667, 0.0000)  2 Br 2.68, 4 Mo 2.77, 2 Pt 2.94
Pt (0.5000, 0.0000, 0.5000)  4 Br 2.75, 4 Mo 2.94
Br (0.0000, 0.5000, 0.5000)  4 Mo 2.68, 4 Pt 2.75

Entry 3:
A plane-wave DFT calculation with PBE-GGA was carried out for a relaxed structure of Mo2PtBr.

Computed properties:
The space group is No. 123. The calculation puts the uncorrected formation energy at 928.4 meV per atom. For the energy, the calculation gives -25.662 eV/cell. Its crystal system is tetragonal. The calculation puts the excess energy over the best structure of this formula in the dataset at 0.6434 eV per atom.

a b c (Å): 3.8427 3.8427 4.5859
angles (deg): 90.00 90.00 90.00
With the nearest neighbours (Å) after each atom.
Fractional coordinates of all 4 atoms:
Mo (0.0000, 0.5000, 0.0000)  4 Mo 2.72, 4 Br 2.99, 4 Pt 2.99
Mo (0.5000, 0.0000, 0.0000)  4 Mo 2.72, 4 Br 2.99, 4 Pt 2.99
Pt (0.0000, 0.0000, 0.5000)  4 Br 2.72, 8 Mo 2.99
Br (0.5000, 0.5000, 0.5000)  4 Pt 2.72, 8 Mo 2.99

Entry 4:
A plane-wave DFT calculation with PBE-GGA was carried out for a relaxed structure of MoPtBr.

Computed properties:
The space group is No. 107. The calculation puts the uncorrected formation energy at 227.9 meV per atom. For the energy, the calculation gives -17.861 eV/cell. Its crystal system is tetragonal. The calculation puts the excess energy over the best structure of this formula in the dataset at 0.0000 eV per atom.

a b c (Å): 6.8307 6.8307 6.8307
angles (deg): 154.57 154.57 36.27
With the nearest neighbours (Å) after each atom.
Fractional coordinates of all 3 atoms:
Mo (0.0000, 0.0000, 0.0000)  4 Pt 2.69, 4 Br 2.74, 4 Mo 3.01
Pt (0.3736, 0.3736, 0.0000)  4 Mo 2.69, 4 Pt 3.01
Br (0.6326, 0.6326, 0.0000)  4 Mo 2.74, 4 Br 3.01

Entry 5:
A plane-wave DFT calculation with PBE-GGA was carried out for a relaxed structure of MoPt3Br.

Computed properties:
The space group is No. 221. The calculation puts the uncorrected formation energy at 1469.6 meV per atom. For the energy, the calculation gives -23.278 eV/cell. Its crystal system is cubic. The calculation puts the excess energy over the best structure of this formula in the dataset at 0.2417 eV per atom.

a b c (Å): 4.7211 4.7211 4.7211
angles (deg): 90.00 90.00 90.00
With the nearest neighbours (Å) after each atom.
Fractional coordinates of all 5 atoms:
Mo (0.0000, 0.0000, 0.0000)  12 Pt 3.34
Pt (0.0000, 0.5000, 0.5000)  2 Br 2.36
Pt (0.5000, 0.0000, 0.5000)  2 Br 2.36
Pt (0.5000, 0.5000, 0.0000)  2 Br 2.36
Br (0.5000, 0.5000, 0.5000)  6 Pt 2.36

Entry 6:
A plane-wave DFT calculation with PBE-GGA was carried out for a relaxed structure of MoPtBr2.

Computed properties:
The space group is No. 47. The calculation puts the uncorrected formation energy at 764.3 meV per atom. For the energy, the calculation gives -17.161 eV/cell. Its crystal system is orthorhombic. The calculation puts the excess energy over the best structure of this formula in the dataset at 0.7562 eV per atom.

a b c (Å): 3.1205 4.4263 5.7606
angles (deg): 90.00 90.00 90.00
With the nearest neighbours (Å) after each atom.
Fractional coordinates of all 4 atoms:
Mo (0.0000, 0.0000, 0.0000)  4 Br 2.71
Pt (0.5000, 0.0000, 0.5000)  4 Br 2.71
Br (0.0000, 0.5000, 0.5000)  4 Pt 2.71
Br (0.5000, 0.5000, 0.0000)  4 Mo 2.71

Entry 7:
A plane-wave DFT calculation with PBE-GGA was carried out for a relaxed structure of Mo2PtBr.

Computed properties:
The space group is No. 122. The calculation puts the uncorrected formation energy at 1080.1 meV per atom. For the energy, the calculation gives -50.111 eV/cell. Its crystal system is tetragonal. The calculation puts the excess energy over the best structure of this formula in the dataset at 0.7951 eV per atom.

a b c (Å): 6.9397 6.9397 6.9397
angles (deg): 130.91 130.91 71.95
With the nearest neighbours (Å) after each atom.
Fractional coordinates of all 8 atoms:
Mo (0.1157, 0.6250, 0.9907)  2 Pt 2.44, 2 Br 2.51
Mo (0.3750, 0.3657, 0.4907)  2 Pt 2.44, 2 Br 2.51
Mo (0.6343, 0.1250, 0.0093)  2 Pt 2.44, 2 Br 2.51
Mo (0.8750, 0.8843, 0.5093)  2 Pt 2.44, 2 Br 2.51
Pt (0.0000, 0.0000, 0.0000)  4 Mo 2.44
Pt (0.7500, 0.2500, 0.5000)  4 Mo 2.44
Br (0.2500, 0.7500, 0.5000)  4 Mo 2.51
Br (0.5000, 0.5000, 0.0000)  4 Mo 2.51

Entry 8:
A plane-wave DFT calculation with PBE-GGA was carried out for a relaxed structure of MoPtBr2.

Computed properties:
The space group is No. 122. The calculation puts the uncorrected formation energy at 943.8 meV per atom. For the energy, the calculation gives -32.885 eV/cell. Its crystal system is tetragonal. The calculation puts the excess energy over the best structure of this formula in the dataset at 0.9358 eV per atom.

a b c (Å): 7.2816 7.2816 7.2816
angles (deg): 133.83 133.83 67.35
With the nearest neighbours (Å) after each atom.
Fractional coordinates of all 8 atoms:
Mo (0.0000, 0.0000, 0.0000)  4 Br 2.48
Mo (0.7500, 0.2500, 0.5000)  4 Br 2.48
Pt (0.2500, 0.7500, 0.5000)  4 Br 2.57
Pt (0.5000, 0.5000, 0.0000)  4 Br 2.57
Br (0.1111, 0.6250, 0.9861)  2 Mo 2.48, 2 Pt 2.57
Br (0.3750, 0.3611, 0.4861)  2 Mo 2.48, 2 Pt 2.57
Br (0.6389, 0.1250, 0.0139)  2 Mo 2.48, 2 Pt 2.57
Br (0.8750, 0.8889, 0.5139)  2 Mo 2.48, 2 Pt 2.57

Entry 9:
A plane-wave DFT calculation with PBE-GGA was carried out for a relaxed structure of MoPtBr2.

Computed properties:
The space group is No. 123. The calculation puts the uncorrected formation energy at 725.9 meV per atom. For the energy, the calculation gives -17.314 eV/cell. Its crystal system is tetragonal. The calculation puts the excess energy over the best structure of this formula in the dataset at 0.7179 eV per atom.

a b c (Å): 3.0624 3.0624 8.1634
angles (deg): 90.00 90.00 90.00
With the nearest neighbours (Å) after each atom.
Fractional coordinates of all 4 atoms:
Mo (0.0000, 0.0000, 0.0000)  8 Br 2.72
Pt (0.0000, 0.0000, 0.5000)  4 Pt 3.06, 8 Br 3.26
Br (0.5000, 0.5000, 0.2011)  4 Mo 2.72
Br (0.5000, 0.5000, 0.7989)  4 Mo 2.72

Entry 10:
A plane-wave DFT calculation with PBE-GGA was carried out for a relaxed structure of MoPtBr2.

Computed properties:
The space group is No. 12. The calculation puts the uncorrected formation energy at 181.7 meV per atom. For the energy, the calculation gives -19.491 eV/cell. Its crystal system is monoclinic. The calculation puts the excess energy over the best structure of this formula in the dataset at 0.1737 eV per atom.

a b c (Å): 7.6759 7.6759 4.5857
angles (deg): 107.21 107.21 22.90
With the nearest neighbours (Å) after each atom.
Fractional coordinates of all 4 atoms:
Mo (0.0000, 0.0000, 0.0000)  4 Br 2.61, 4 Pt 2.75
Pt (0.5000, 0.5000, 0.5000)  4 Mo 2.75, 2 Pt 3.05
Br (0.3524, 0.3524, 0.8533)  2 Mo 2.61
Br (0.6476, 0.6476, 0.1467)  2 Mo 2.61

Entry 11:
A plane-wave DFT calculation with PBE-GGA was carried out for a relaxed structure of MoPtBr2.

Computed properties:
The space group is No. 6. The calculation puts the uncorrected formation energy at 8.0 meV per atom. For the energy, the calculation gives -20.186 eV/cell. Its crystal system is monoclinic. The calculation puts the excess energy over the best structure of this formula in the dataset at 0.0000 eV per atom.

a b c (Å): 3.6011 3.4029 8.2356
angles (deg): 90.00 102.53 90.00
With the nearest neighbours (Å) after each atom.
Fractional coordinates of all 4 atoms:
Mo (0.0000, 0.0000, 0.0000)  3 Br 2.59-2.65, 4 Pt 2.70
Pt (0.4343, 0.5000, 0.8674)  4 Mo 2.70, 4 Br 2.94
Br (0.1200, 0.5000, 0.2424)  2 Mo 2.59
Br (0.8369, 0.0000, 0.6704)  1 Mo 2.65, 4 Pt 2.94

Entry 12:
A plane-wave DFT calculation with PBE-GGA was carried out for a relaxed structure of MoPtBr.

Computed properties:
The space group is No. 216. The calculation puts the uncorrected formation energy at 1080.0 meV per atom. For the energy, the calculation gives -15.305 eV/cell. Its crystal system is cubic. The calculation puts the excess energy over the best structure of this formula in the dataset at 0.8521 eV per atom.

a b c (Å): 4.5223 4.5223 4.5223
angles (deg): 60.00 60.00 60.00
With the nearest neighbours (Å) after each atom.
Fractional coordinates of all 3 atoms:
Mo (0.0000, 0.0000, 0.0000)  4 Pt 2.77
Pt (0.7500, 0.7500, 0.7500)  4 Br 2.77, 4 Mo 2.77
Br (0.5000, 0.5000, 0.5000)  4 Pt 2.77

Entry 13:
A plane-wave DFT calculation with PBE-GGA was carried out for a relaxed structure of Mo2PtBr.

Computed properties:
The space group is No. 225. The calculation puts the uncorrected formation energy at 543.3 meV per atom. For the energy, the calculation gives -27.203 eV/cell. Its crystal system is cubic. The calculation puts the excess energy over the best structure of this formula in the dataset at 0.2583 eV per atom.

a b c (Å): 4.5061 4.5061 4.5061
angles (deg): 60.00 60.00 60.00
With the nearest neighbours (Å) after each atom.
Fractional coordinates of all 4 atoms:
Mo (0.2500, 0.2500, 0.2500)  4 Br 2.76, 4 Pt 2.76
Mo (0.7500, 0.7500, 0.7500)  4 Br 2.76, 4 Pt 2.76
Pt (0.0000, 0.0000, 0.0000)  8 Mo 2.76
Br (0.5000, 0.5000, 0.5000)  8 Mo 2.76